Entry 1:
Material: Y2Hg2O5
Method: DFT, GGA-PBE
State: optimized geometry

Unit cell a=7.2022 b=4.2896 c=4.2896 alpha=90.00 beta=90.00 gamma=90.00
Sites, in units of the cell vectors:
1 Hg 0.1935 0.5000 0.5000
2 Y 0.0000 0.0000 0.0000
3 O 0.7910 0.5000 0.0000
4 O 0.2090 0.5000 0.0000
5 O 0.2090 0.0000 0.5000
6 Hg 0.8065 0.5000 0.5000
7 Y 0.5000 0.0000 0.0000
8 O 0.5000 0.5000 0.5000
9 O 0.7910 0.0000 0.5000

Properties
Offset from the most stable computed form in eV/atom: 0.516
Uncorrected energy in eV/atom: -5.442

Entry 2:
Material: Zn2Hg2O5
Method: DFT, GGA-PBE
State: optimized geometry

Unit cell a=8.0427 b=3.7663 c=3.7663 alpha=90.00 beta=90.00 gamma=90.00
Sites, in units of the cell vectors:
1 Hg 0.5000 0.0000 0.0000
2 Zn 0.2484 0.5000 0.5000
3 O 0.8159 0.5000 0.0000
4 Hg 0.0000 0.0000 0.0000
5 O 0.8159 0.0000 0.5000
6 O 0.1841 0.5000 0.0000
7 O 0.5000 0.5000 0.5000
8 O 0.1841 0.0000 0.5000
9 Zn 0.7516 0.5000 0.5000

Properties
Uncorrected energy in eV/atom: -3.456

Entry 3:
Material: Zr3HgO
Method: DFT, GGA-PBE
State: optimized geometry

Unit cell a=6.0500 b=6.0500 c=9.2387 alpha=90.00 beta=90.00 gamma=147.15
Sites, in units of the cell vectors:
1 O 0.0000 0.0000 0.5000
2 Zr 0.6255 0.3745 0.0360
3 Hg 0.2482 0.7518 0.2500
4 Zr 0.3745 0.6255 0.5360
5 Zr 0.6255 0.3745 0.4640
6 O 0.0000 0.0000 0.0000
7 Zr 0.9627 0.0373 0.2500
8 Zr 0.0373 0.9627 0.7500
9 Hg 0.7518 0.2482 0.7500
10 Zr 0.3745 0.6255 0.9640

Properties
Uncorrected energy in eV/atom: -7.319

Entry 4:
Material: Zr3HgO
Method: DFT, GGA-PBE
State: optimized geometry

Unit cell a=3.4269 b=9.2436 c=6.0386 alpha=90.00 beta=106.46 gamma=90.00
Sites, in units of the cell vectors:
1 Zr 0.4619 0.7500 0.4242
2 Zr 0.8752 0.4638 0.2494
3 Zr 0.1248 0.5362 0.7506
4 O 0.5000 0.5000 0.5000
5 Zr 0.5381 0.2500 0.5758
6 Zr 0.1248 0.9638 0.7506
7 Hg 0.7471 0.7500 0.9961
8 Hg 0.2529 0.2500 0.0039
9 Zr 0.8752 0.0362 0.2494
10 O 0.5000 0.0000 0.5000

Properties
Uncorrected energy in eV/atom: -7.319

Entry 5:
Material: Zr2Hg2O5
Method: DFT, GGA-PBE
State: optimized geometry

Unit cell a=8.3637 b=4.0101 c=4.0101 alpha=90.00 beta=90.00 gamma=90.00
Sites, in units of the cell vectors:
1 Hg 0.0000 0.0000 0.0000
2 O 0.1843 0.0000 0.5000
3 O 0.8157 0.5000 0.0000
4 O 0.1843 0.5000 0.0000
5 Hg 0.5000 0.0000 0.0000
6 O 0.5000 0.5000 0.5000
7 O 0.8157 0.0000 0.5000
8 Zr 0.7383 0.5000 0.5000
9 Zr 0.2617 0.5000 0.5000

Properties
Offset from the most stable computed form in eV/atom: 0.000
Uncorrected energy in eV/atom: -6.715

Entry 6:
Material: Zr2Hg2O5
Method: DFT, GGA-PBE
State: optimized geometry

Unit cell a=7.9864 b=3.7922 c=3.7922 alpha=90.00 beta=90.00 gamma=90.00
Sites, in units of the cell vectors:
1 O 0.3196 0.5000 0.0000
2 Zr 0.0000 0.0000 0.0000
3 Hg 0.8303 0.5000 0.5000
4 O 0.5000 0.5000 0.5000
5 Zr 0.5000 0.0000 0.0000
6 O 0.6804 0.5000 0.0000
7 Hg 0.1697 0.5000 0.5000
8 O 0.3196 0.0000 0.5000
9 O 0.6804 0.0000 0.5000

Properties
Offset from the most stable computed form in eV/atom: 1.373
Uncorrected energy in eV/atom: -5.342

Entry 7:
Material: Hg2Os
Method: DFT, GGA-PBE
State: optimized geometry

Unit cell a=8.3480 b=8.3480 c=8.3480 alpha=60.00 beta=60.00 gamma=60.00
Sites, in units of the cell vectors:
1 Hg 0.3750 0.3750 0.3750
2 Hg 0.3750 0.8750 0.3750
3 Hg 0.3750 0.3750 0.8750
4 Os 0.5000 0.5000 0.5000
5 Os 0.2500 0.2500 0.2500
6 Hg 0.8750 0.3750 0.3750

Properties
Uncorrected energy in eV/atom: -2.358
ΔH_f (0 K) in eV per atom: 1.583

Entry 8:
Material: HgOs
Method: DFT, GGA-PBE
State: optimized geometry

Unit cell a=2.8753 b=2.8753 c=4.7904 alpha=90.00 beta=90.00 gamma=120.00
Sites, in units of the cell vectors:
1 Os 0.3333 0.6667 0.2500
2 Hg 0.6667 0.3333 0.7500

Properties
Offset from the most stable computed form in eV/atom: 0.000
Uncorrected energy in eV/atom: -4.753
ΔH_f (0 K) in eV per atom: 1.008

Entry 9:
Material: PaHgOs
Method: DFT, GGA-PBE
State: optimized geometry

Unit cell a=4.7492 b=4.7492 c=4.7492 alpha=60.00 beta=60.00 gamma=60.00
Sites, in units of the cell vectors:
1 Hg 0.2500 0.2500 0.2500
2 Pa 0.0000 0.0000 0.0000
3 Os 0.7500 0.7500 0.7500

Properties
Offset from the most stable computed form in eV/atom: 0.000
Uncorrected energy in eV/atom: -6.312
ΔH_f (0 K) in eV per atom: 0.694

Entry 10:
Material: PaHgOs
Method: DFT, GGA-PBE
State: optimized geometry

Unit cell a=4.6763 b=4.6763 c=4.6763 alpha=60.00 beta=60.00 gamma=60.00
Sites, in units of the cell vectors:
1 Hg 0.0000 0.0000 0.0000
2 Pa 0.7500 0.7500 0.7500
3 Os 0.2500 0.2500 0.2500

Properties
Offset from the most stable computed form in eV/atom: 0.186
Uncorrected energy in eV/atom: -6.127
ΔH_f (0 K) in eV per atom: 0.880

Entry 11:
Material: HgOsPd2
Method: DFT, GGA-PBE
State: optimized geometry

Unit cell a=4.5312 b=4.5312 c=4.5312 alpha=60.00 beta=60.00 gamma=60.00
Sites, in units of the cell vectors:
1 Hg 0.2500 0.2500 0.2500
2 Os 0.5000 0.5000 0.5000
3 Pd 0.7500 0.7500 0.7500
4 Pd 0.0000 0.0000 0.0000

Properties
Uncorrected energy in eV/atom: -4.918
ΔH_f (0 K) in eV per atom: 0.551

Entry 12:
Material: Pm4HgOs
Method: DFT, GGA-PBE
State: optimized geometry

Unit cell a=7.8779 b=7.8779 c=6.3456 alpha=98.74 beta=98.74 gamma=112.68
Sites, in units of the cell vectors:
1 Pm 0.0622 0.7224 0.9580
2 Hg 0.3748 0.6252 0.2500
3 Hg 0.6252 0.3748 0.7500
4 Pm 0.2776 0.9378 0.5420
5 Pm 0.3631 0.2059 0.0944
6 Pm 0.2059 0.3631 0.5944
7 Pm 0.7224 0.0622 0.4580
8 Pm 0.9378 0.2776 0.0420
9 Pm 0.6369 0.7941 0.9056
10 Pm 0.7941 0.6369 0.4056
11 Os 0.9996 0.0004 0.2500
12 Os 0.0004 0.9996 0.7500

Properties
Uncorrected energy in eV/atom: -5.348
ΔH_f (0 K) in eV per atom: -0.264

Entry 13:
Material: PmHgOs
Method: DFT, GGA-PBE
State: optimized geometry

Unit cell a=4.7292 b=4.7292 c=4.7292 alpha=60.00 beta=60.00 gamma=60.00
Sites, in units of the cell vectors:
1 Pm 0.7500 0.7500 0.7500
2 Os 0.0000 0.0000 0.0000
3 Hg 0.2500 0.2500 0.2500

Properties
Uncorrected energy in eV/atom: -5.012
ΔH_f (0 K) in eV per atom: 0.411

Entry 14:
Material: PuHgOs
Method: DFT, GGA-PBE
State: optimized geometry

Unit cell a=4.6360 b=4.6360 c=4.6360 alpha=60.00 beta=60.00 gamma=60.00
Sites, in units of the cell vectors:
1 Os 0.7500 0.7500 0.7500
2 Hg 0.2500 0.2500 0.2500
3 Pu 0.0000 0.0000 0.0000

Properties
Offset from the most stable computed form in eV/atom: 0.460
Uncorrected energy in eV/atom: -7.711
ΔH_f (0 K) in eV per atom: 0.839

Entry 15:
Material: PuHgOs
Method: DFT, GGA-PBE
State: optimized geometry

Unit cell a=4.6120 b=4.6120 c=4.6120 alpha=60.00 beta=60.00 gamma=60.00
Sites, in units of the cell vectors:
1 Os 0.0000 0.0000 0.0000
2 Pu 0.7500 0.7500 0.7500
3 Hg 0.2500 0.2500 0.2500

Properties
Offset from the most stable computed form in eV/atom: 0.000
Uncorrected energy in eV/atom: -8.171
ΔH_f (0 K) in eV per atom: 0.379

Entry 16:
Material: Rb2HgOs
Method: DFT, GGA-PBE
State: optimized geometry

Unit cell a=3.1904 b=3.1904 c=11.5041 alpha=90.00 beta=90.00 gamma=90.00
Sites, in units of the cell vectors:
1 Os 0.5000 0.5000 0.5000
2 Rb 0.0000 0.0000 0.7119
3 Rb 0.0000 0.0000 0.2881
4 Hg 0.0000 0.0000 0.0000

Properties
Uncorrected energy in eV/atom: -2.189

Entry 17:
Material: RbHgOs
Method: DFT, GGA-PBE
State: optimized geometry

Unit cell a=5.0531 b=5.0531 c=5.0531 alpha=60.00 beta=60.00 gamma=60.00
Sites, in units of the cell vectors:
1 Hg 0.2500 0.2500 0.2500
2 Os 0.0000 0.0000 0.0000
3 Rb 0.7500 0.7500 0.7500

Properties
Offset from the most stable computed form in eV/atom: 0.000
Uncorrected energy in eV/atom: -2.488

Entry 18:
Material: RbHg3Te4Os
Method: DFT, GGA-PBE
State: optimized geometry

Unit cell a=7.6021 b=7.6021 c=7.6021 alpha=90.00 beta=90.00 gamma=90.00
Sites, in units of the cell vectors:
1 Te 0.1893 0.1893 0.8107
2 Hg 0.0000 0.5000 0.0000
3 Rb 0.5000 0.5000 0.5000
4 Te 0.8107 0.8107 0.8107
5 Hg 0.0000 0.0000 0.5000
6 Hg 0.5000 0.0000 0.0000
7 Os 0.0000 0.0000 0.0000
8 Te 0.1893 0.8107 0.1893
9 Te 0.8107 0.1893 0.1893

Properties
Uncorrected energy in eV/atom: -2.843

Entry 19:
Material: HgOs3S
Method: DFT, GGA-PBE
State: optimized geometry

Unit cell a=4.3848 b=4.3848 c=4.3848 alpha=90.00 beta=90.00 gamma=90.00
Sites, in units of the cell vectors:
1 Os 0.5000 0.0000 0.5000
2 S 0.5000 0.5000 0.5000
3 Hg 0.0000 0.0000 0.0000
4 Os 0.0000 0.5000 0.5000
5 Os 0.5000 0.5000 0.0000

Properties
Uncorrected energy in eV/atom: -6.428

Entry 20:
Material: HgSb2Os
Method: DFT, GGA-PBE
State: optimized geometry

Unit cell a=4.9355 b=4.9355 c=4.9355 alpha=60.00 beta=60.00 gamma=60.00
Sites, in units of the cell vectors:
1 Sb 0.0000 0.0000 0.0000
2 Sb 0.2500 0.2500 0.2500
3 Os 0.7500 0.7500 0.7500
4 Hg 0.5000 0.5000 0.5000

Properties
Uncorrected energy in eV/atom: -4.051